## Ba2Mg17 (SCAN)

Data for Ba2Mg17 at its PBEsol-relaxed geometry.

abc: 10.5338 10.5338 15.4750
angles: 90.00 90.00 120.00
Space group R-3m (No. 166, hexagonal axes)
Asymmetric unit:
1 Ba 0.0000 0.0000 0.1625 [6 per cell]
2 Mg 0.0000 0.0000 0.4023 [6 per cell]
3 Mg 0.0000 0.2930 0.5000 [18 per cell]
4 Mg 0.0000 0.5000 0.0000 [9 per cell]
5 Mg 0.0002 0.5001 0.3473 [18 per cell]

Values from the calculation:
Electronic total energy, eV/cell: -494.388
ΔE_f, eV/atom: -0.06

## KAsSe4 (SCAN)

Data for KAsSe4 at its PBEsol-relaxed geometry.

abc: 8.121 8.121 8.121
angles: 90.00 90.00 90.00
Space group F-43m (No. 216)
Asymmetric unit:
1 K 0.000 0.000 0.000 [4 per cell]
2 As 0.250 0.250 0.250 [4 per cell]
3 Se 0.123 0.123 0.623 [16 per cell]

Values from the calculation:
Electronic total energy, eV/cell: -427.118
Uncorrected formation energy, eV per atom: 0.3423

## Tb2Si5Rh3 (SCAN)

Data for Tb2Si5Rh3 at its PBEsol-relaxed geometry.

abc: 11.005 11.722 5.627
angles: 90.00 118.23 90.00
Space group C2/c (No. 15)
Asymmetric unit:
1 Tb 0.233 0.134 0.240 [8 per cell]
2 Si 0.000 0.013 0.250 [4 per cell]
3 Si 0.000 0.276 0.250 [4 per cell]
4 Si 0.000 0.291 0.750 [4 per cell]
5 Si 0.163 0.397 0.163 [8 per cell]
6 Rh 0.000 0.499 0.750 [4 per cell]
7 Rh 0.099 0.140 0.627 [8 per cell]

Values from the calculation:
Electronic total energy, eV/cell: -1022.643
Uncorrected formation energy, eV per atom: -1.0743

- What is the electronic total energy in the second record?
  -427.118 eV/cell

- Among the records above, which one has the highest electronic total energy?
  KAsSe4

- What is the formula in the second record?
  KAsSe4